Record 1
Entry from the Alexandria database: Cs3AgAs2 after structural relaxation (GGA-PBE).

ΔH_f (0 K) (kJ/mol of formula units): -178
V (Å³ per cell): 500.5

a b c (Å): 7.730 7.730 8.380
angles (deg): 91.01 91.01 90.29
Fractional positions:
As: 0.063 0.502 0.642
As: 0.498 0.937 0.858
As: 0.502 0.063 0.142
As: 0.937 0.498 0.358
Cs: 0.611 0.389 0.750
Cs: 0.228 0.120 0.468
Cs: 0.120 0.228 0.968
Cs: 0.772 0.880 0.532
Cs: 0.389 0.611 0.250
Cs: 0.880 0.772 0.032
Ag: 0.747 0.253 0.250
Ag: 0.253 0.747 0.750

***

Record 2
Entry from the Alexandria database: Mn2CoReH after structural relaxation (GGA-PBE).

Distance to the lowest polymorph of the same formula (meV/atom): 99
V (Å³ per cell): 49.9

a b c (Å): 3.633 3.633 3.781
angles (deg): 90.00 90.00 90.00
Last column: magnetic moment on the atom in μB.
Fractional positions:
Mn: 0.000 0.500 0.000  1.21
Mn: 0.500 0.000 0.000  1.21
Re: 0.000 0.000 0.500  -0.34
H: 0.000 0.000 0.000  -0.01
Co: 0.500 0.500 0.500  -0.73

***

Record 3
Entry from the Alexandria database: PmLuCoCu after structural relaxation (GGA-PBE).

ΔH_f (0 K) (kJ/mol of formula units): -61
V (Å³ per cell): 79.6

a b c (Å): 4.828 4.828 4.828
angles (deg): 60.00 60.00 60.00
Last column: magnetic moment on the atom in μB.
Fractional positions:
Pm: 0.000 0.000 0.000  -0.05
Lu: 0.500 0.500 0.500  -0.08
Co: 0.750 0.750 0.750  0.58
Cu: 0.250 0.250 0.250  0.00

***

Record 4
Entry from the Alexandria database: Ti2SiNiPt after structural relaxation (GGA-PBE).

E_form (uncorrected) (kcal/mol of atoms): 8.84
V (Å³ per cell): 92.1

a b c (Å): 4.588 4.378 4.588
angles (deg): 90.00 90.00 90.00
Last column: magnetic moment on the atom in μB.
Fractional positions:
Si: 0.000 0.000 0.000  0.00
Pt: 0.000 0.500 0.000  0.01
Ni: 0.500 0.500 0.500  0.19
Ti: 0.000 0.000 0.500  -0.03
Ti: 0.500 0.000 0.000  -0.04

***

| no. | calculated density (Mg/m³) |
| --- | --- |
| 1 | 4.36 |
| 2 | 11.84 |
| 3 | 9.23 |
| 4 | 6.81 |